Record 1
Crystalline Tb4CdCuAg2 at its relaxed geometry, computed with PBE-GGA.

Computed properties:
- Crystal system: trigonal
- ΔE_f: -2.280 eV/f.u.

```
Tb4CdCuAg2
1.0
2.575 1.487 8.404
-2.575 1.487 8.404
0.000 -2.974 8.404
Tb Cd Cu Ag
4 1 1 2
direct
0.119 0.119 0.119
0.370 0.370 0.370
0.630 0.630 0.630
0.881 0.881 0.881
0.500 0.500 0.500
0.000 0.000 0.000
0.245 0.245 0.245
0.755 0.755 0.755
```



Record 2
Crystalline ReHg at its relaxed geometry, computed with PBE-GGA.

Computed properties:
- Crystal system: trigonal
- ΔE_f: 0.805 eV/f.u.

```
ReHg
1.0
2.907 0.000 0.000
-1.453 2.517 0.000
0.000 0.000 10.012
Re Hg
2 2
direct
0.333 0.667 0.399
0.667 0.333 0.601
0.333 0.667 0.855
0.667 0.333 0.145
```



ΔE_f of number 1 (Tb4CdCuAg2)?
-2.280 eV/f.u.



What did the second record say?
Crystalline ReHg at its relaxed geometry, computed with PBE-GGA.

Computed properties:
- Crystal system: trigonal
- ΔE_f: 0.805 eV/f.u.

```
ReHg
1.0
2.907 0.000 0.000
-1.453 2.517 0.000
0.000 0.000 10.012
Re Hg
2 2
direct
0.333 0.667 0.399
0.667 0.333 0.601
0.333 0.667 0.855
0.667 0.333 0.145
```



The lowest ΔE_f belongs to which entry?
Tb4CdCuAg2



The lowest ΔE_f belongs to which entry?
Tb4CdCuAg2